# ScSiIr, single point on PBEsol structure, DFT meta-GGA SCAN
data_ScSiIr
_symmetry_space_group_name_H-M 'P 1'
_symmetry_Int_Tables_number 1
_symmetry_space_group_name_Hall 'P 1'
_cell_length_a 5.885
_cell_length_b 5.885
_cell_length_c 5.885
_cell_angle_alpha 90.00
_cell_angle_beta 90.00
_cell_angle_gamma 90.00
loop_
_atom_site_label
_atom_site_fract_x
_atom_site_fract_y
_atom_site_fract_z
_atom_site_occupancy
Sc1 0.000 0.000 0.000 1
Sc2 0.000 0.500 0.500 1
Sc3 0.500 0.000 0.500 1
Sc4 0.500 0.500 0.000 1
Si1 0.250 0.250 0.250 1
Si2 0.250 0.750 0.750 1
Si3 0.750 0.250 0.750 1
Si4 0.750 0.750 0.250 1
Ir1 0.000 0.000 0.500 1
Ir2 0.000 0.500 0.000 1
Ir3 0.500 0.000 0.000 1
Ir4 0.500 0.500 0.500 1
# Energy relative to the elements, uncorrected: -0.63 eV/atom


# Ca4In3Au10, single point on PBEsol structure, DFT meta-GGA SCAN
data_Ca4In3Au10
_symmetry_space_group_name_H-M 'P 1'
_symmetry_Int_Tables_number 1
_symmetry_space_group_name_Hall 'P 1'
_cell_length_a 8.462
_cell_length_b 8.462
_cell_length_c 10.084
_cell_angle_alpha 90.00
_cell_angle_beta 90.00
_cell_angle_gamma 72.27
loop_
_atom_site_label
_atom_site_fract_x
_atom_site_fract_y
_atom_site_fract_z
_atom_site_occupancy
Ca1 0.196 0.196 0.000 1
Ca2 0.197 0.803 0.798 1
Ca3 0.303 0.697 0.298 1
Ca4 0.304 0.304 0.500 1
Ca5 0.696 0.696 0.500 1
Ca6 0.697 0.303 0.702 1
Ca7 0.803 0.197 0.202 1
Ca8 0.804 0.804 0.000 1
In1 0.000 0.000 0.500 1
In2 0.019 0.481 0.250 1
In3 0.481 0.019 0.750 1
In4 0.500 0.500 0.000 1
In5 0.519 0.981 0.250 1
In6 0.981 0.519 0.750 1
Au1 0.064 0.652 0.516 1
Au2 0.099 0.901 0.097 1
Au3 0.117 0.168 0.707 1
Au4 0.152 0.564 0.016 1
Au5 0.168 0.117 0.293 1
Au6 0.332 0.383 0.793 1
Au7 0.348 0.936 0.516 1
Au8 0.383 0.332 0.207 1
Au9 0.401 0.599 0.597 1
Au10 0.436 0.848 0.016 1
Au11 0.564 0.152 0.984 1
Au12 0.599 0.401 0.403 1
Au13 0.617 0.668 0.793 1
Au14 0.652 0.064 0.484 1
Au15 0.668 0.617 0.207 1
Au16 0.832 0.883 0.707 1
Au17 0.848 0.436 0.984 1
Au18 0.883 0.832 0.293 1
Au19 0.901 0.099 0.903 1
Au20 0.936 0.348 0.484 1
# Calculated formation energy: -0.738 eV/atom


# CdCuF4, single point on PBEsol structure, DFT meta-GGA SCAN
data_CdCuF4
_symmetry_space_group_name_H-M 'P 1'
_symmetry_Int_Tables_number 1
_symmetry_space_group_name_Hall 'P 1'
_cell_length_a 6.360
_cell_length_b 6.360
_cell_length_c 6.360
_cell_angle_alpha 130.40
_cell_angle_beta 130.40
_cell_angle_gamma 72.76
loop_
_atom_site_label
_atom_site_fract_x
_atom_site_fract_y
_atom_site_fract_z
_atom_site_occupancy
Cd1 0.250 0.250 0.000 1
Cd2 0.750 0.750 0.000 1
Cu1 0.000 0.500 0.500 1
Cu2 0.500 0.000 0.500 1
F1 0.053 0.553 0.863 1
F2 0.191 0.053 0.500 1
F3 0.309 0.809 0.863 1
F4 0.447 0.309 0.500 1
F5 0.553 0.691 0.500 1
F6 0.691 0.191 0.137 1
F7 0.809 0.947 0.500 1
F8 0.947 0.447 0.137 1
# Energy relative to the elements, uncorrected: -2.13 eV/atom


# ScSnGeAs2, single point on PBEsol structure, DFT meta-GGA SCAN
data_ScSnGeAs2
_symmetry_space_group_name_H-M 'P 1'
_symmetry_Int_Tables_number 1
_symmetry_space_group_name_Hall 'P 1'
_cell_length_a 5.119
_cell_length_b 5.119
_cell_length_c 5.353
_cell_angle_alpha 90.00
_cell_angle_beta 90.00
_cell_angle_gamma 90.00
loop_
_atom_site_label
_atom_site_fract_x
_atom_site_fract_y
_atom_site_fract_z
_atom_site_occupancy
Sc1 0.000 0.000 0.000 1
Sn1 0.000 0.000 0.500 1
Ge1 0.500 0.500 0.000 1
As1 0.000 0.500 0.500 1
As2 0.500 0.000 0.500 1
# Calculated formation energy: 0.864 eV/atom


# TlHg2Br2, single point on PBEsol structure, DFT meta-GGA SCAN
data_TlHg2Br2
_symmetry_space_group_name_H-M 'P 1'
_symmetry_Int_Tables_number 1
_symmetry_space_group_name_Hall 'P 1'
_cell_length_a 3.989
_cell_length_b 3.989
_cell_length_c 18.051
_cell_angle_alpha 90.00
_cell_angle_beta 90.00
_cell_angle_gamma 90.00
loop_
_atom_site_label
_atom_site_fract_x
_atom_site_fract_y
_atom_site_fract_z
_atom_site_occupancy
Tl1 0.000 0.000 0.000 1
Tl2 0.500 0.500 0.500 1
Hg1 0.000 0.500 0.250 1
Hg2 0.000 0.500 0.750 1
Hg3 0.500 0.000 0.250 1
Hg4 0.500 0.000 0.750 1
Br1 0.000 0.000 0.399 1
Br2 0.000 0.000 0.601 1
Br3 0.500 0.500 0.101 1
Br4 0.500 0.500 0.899 1
# Energy relative to the elements, uncorrected: -0.41 eV/atom


# Ca4Ta2O9, single point on PBEsol structure, DFT meta-GGA SCAN
data_Ca4Ta2O9
_symmetry_space_group_name_H-M 'P 1'
_symmetry_Int_Tables_number 1
_symmetry_space_group_name_Hall 'P 1'
_cell_length_a 9.762
_cell_length_b 5.632
_cell_length_c 14.665
_cell_angle_alpha 90.00
_cell_angle_beta 90.00
_cell_angle_gamma 90.00
loop_
_atom_site_label
_atom_site_fract_x
_atom_site_fract_y
_atom_site_fract_z
_atom_site_occupancy
Ca1 0.164 0.007 0.013 1
Ca2 0.164 0.993 0.513 1
Ca3 0.165 0.000 0.296 1
Ca4 0.165 0.000 0.796 1
Ca5 0.335 0.500 0.296 1
Ca6 0.335 0.500 0.796 1
Ca7 0.336 0.493 0.513 1
Ca8 0.336 0.507 0.013 1
Ca9 0.664 0.493 0.987 1
Ca10 0.664 0.507 0.487 1
Ca11 0.665 0.500 0.204 1
Ca12 0.665 0.500 0.704 1
Ca13 0.835 0.000 0.204 1
Ca14 0.835 0.000 0.704 1
Ca15 0.836 0.007 0.487 1
Ca16 0.836 0.993 0.987 1
Ta1 0.003 0.498 0.146 1
Ta2 0.003 0.502 0.646 1
Ta3 0.497 0.002 0.646 1
Ta4 0.497 0.998 0.146 1
Ta5 0.503 0.002 0.854 1
Ta6 0.503 0.998 0.354 1
Ta7 0.997 0.498 0.354 1
Ta8 0.997 0.502 0.854 1
O1 0.000 0.243 0.750 1
O2 0.000 0.757 0.250 1
O3 0.015 0.187 0.407 1
O4 0.015 0.813 0.907 1
O5 0.131 0.369 0.246 1
O6 0.131 0.631 0.746 1
O7 0.146 0.356 0.582 1
O8 0.146 0.644 0.082 1
O9 0.160 0.338 0.902 1
O10 0.160 0.662 0.402 1
O11 0.340 0.162 0.402 1
O12 0.340 0.838 0.902 1
O13 0.354 0.144 0.082 1
O14 0.354 0.856 0.582 1
O15 0.369 0.131 0.746 1
O16 0.369 0.869 0.246 1
O17 0.485 0.313 0.907 1
O18 0.485 0.687 0.407 1
O19 0.500 0.257 0.250 1
O20 0.500 0.743 0.750 1
O21 0.515 0.313 0.593 1
O22 0.515 0.687 0.093 1
O23 0.631 0.131 0.754 1
O24 0.631 0.869 0.254 1
O25 0.646 0.144 0.418 1
O26 0.646 0.856 0.918 1
O27 0.660 0.162 0.098 1
O28 0.660 0.838 0.598 1
O29 0.840 0.338 0.598 1
O30 0.840 0.662 0.098 1
O31 0.854 0.356 0.918 1
O32 0.854 0.644 0.418 1
O33 0.869 0.369 0.254 1
O34 0.869 0.631 0.754 1
O35 0.985 0.187 0.093 1
O36 0.985 0.813 0.593 1
# Energy relative to the elements, uncorrected: -3.28 eV/atom
# Excess energy over the best structure of this formula in the dataset: 57.3 meV/atom


Raw total energy in eV/cell, matching the order above: -388.92; -1685.86; -145.09; -105.31; -499.28; -1108.20
Magnetization in μB/f.u., matching the order above: 0.00; 0.00; 1.01; 0.00; 0.00; 0.00